Record 1
Material: Ac7La2Sm2
Method: DFT, PBE-GGA
State: optimized geometry

a b c (Å): 6.044 8.964 10.121
angles (deg): 116.29 107.37 90.00
Sites, in units of the cell vectors:
Ac: 0.139 0.046 0.277
Ac: 0.341 0.463 0.682
Ac: 0.659 0.781 0.318
Ac: 0.871 0.192 0.742
Ac: 0.500 0.947 0.000
Ac: 0.861 0.769 0.723
Ac: 0.129 0.451 0.258
Sm: 0.000 0.622 0.000
Sm: 0.500 0.353 0.000
La: 0.700 0.315 0.400
La: 0.300 0.915 0.600

Computed properties:
formation enthalpy at 0 K: 0.1094 eV per atom
space group: Imm2 (44)

Record 2
Material: Ac2La3Sm
Method: DFT, PBE-GGA
State: optimized geometry

a b c (Å): 5.399 11.987 8.500
angles (deg): 114.99 108.52 90.00
Sites, in units of the cell vectors:
La: 0.291 0.620 0.581
La: 0.625 0.621 0.250
La: 0.046 0.381 0.092
La: 0.709 0.380 0.419
La: 0.375 0.379 0.750
La: 0.954 0.619 0.908
Ac: 0.463 0.131 0.927
Ac: 0.791 0.130 0.583
Ac: 0.537 0.869 0.073
Ac: 0.209 0.870 0.417
Sm: 0.125 0.128 0.250
Sm: 0.875 0.872 0.750

Computed properties:
formation enthalpy at 0 K: 0.0241 eV per atom
space group: C2/m (12)

Record 3
Material: Ac5La3Sm2
Method: DFT, PBE-GGA
State: optimized geometry

a b c (Å): 9.484 9.504 11.842
angles (deg): 119.05 119.01 77.84
Sites, in units of the cell vectors:
La: 0.786 0.036 0.073
La: 0.029 0.778 0.246
La: 0.971 0.222 0.754
La: 0.214 0.964 0.927
La: 0.716 0.467 0.246
La: 0.284 0.533 0.754
Ac: 0.108 0.364 0.230
Ac: 0.475 0.725 0.449
Ac: 0.975 0.225 0.450
Ac: 0.379 0.134 0.770
Ac: 0.025 0.775 0.550
Ac: 0.525 0.275 0.551
Ac: 0.892 0.636 0.770
Ac: 0.722 0.472 0.944
Ac: 0.278 0.528 0.056
Ac: 0.621 0.866 0.230
Sm: 0.503 0.752 0.771
Sm: 0.768 0.019 0.771
Sm: 0.232 0.981 0.229
Sm: 0.497 0.248 0.229

Computed properties:
formation enthalpy at 0 K: 0.1557 eV per atom
space group: C2/c (15)

Record 4
Material: AcLa5Sm2
Method: DFT, PBE-GGA
State: optimized geometry

a b c (Å): 10.668 6.685 11.495
angles (deg): 120.24 117.65 90.00
Sites, in units of the cell vectors:
La: 0.039 0.250 0.000
La: 0.937 0.638 0.651
La: 0.715 0.138 0.651
La: 0.285 0.862 0.349
La: 0.446 0.405 0.767
La: 0.679 0.095 0.233
La: 0.554 0.595 0.233
La: 0.961 0.750 0.000
La: 0.063 0.362 0.349
La: 0.321 0.905 0.767
Ac: 0.000 0.000 0.500
Ac: 0.500 0.500 0.500
Sm: 0.310 0.042 0.094
Sm: 0.690 0.958 0.906
Sm: 0.785 0.542 0.094
Sm: 0.215 0.458 0.906

Computed properties:
formation enthalpy at 0 K: 0.1338 eV per atom
space group: C2/c (15)

Record 5
Material: AcLa3Sm2
Method: DFT, PBE-GGA
State: optimized geometry

a b c (Å): 6.490 6.490 12.420
angles (deg): 110.34 110.34 70.55
Sites, in units of the cell vectors:
Sm: 0.042 0.291 0.083
Sm: 0.958 0.709 0.917
Sm: 0.709 0.958 0.417
Sm: 0.291 0.042 0.583
La: 0.375 0.625 0.750
La: 0.625 0.375 0.250
La: 0.790 0.540 0.580
La: 0.210 0.460 0.420
La: 0.540 0.790 0.080
La: 0.460 0.210 0.920
Ac: 0.125 0.875 0.250
Ac: 0.875 0.125 0.750

Computed properties:
formation enthalpy at 0 K: 0.0313 eV per atom
space group: C2/c (15)

Record 6
Material: AcLa2Sm7
Method: DFT, PBE-GGA
State: optimized geometry

a b c (Å): 6.358 8.255 9.783
angles (deg): 120.50 89.46 121.22
Sites, in units of the cell vectors:
Sm: 0.100 0.901 0.599
Sm: 0.500 0.500 0.000
Sm: 0.297 0.696 0.798
Sm: 0.800 0.204 0.801
Sm: 0.200 0.796 0.199
Sm: 0.703 0.304 0.202
Sm: 0.900 0.099 0.401
La: 0.403 0.607 0.402
La: 0.597 0.393 0.598
Ac: 0.000 0.000 0.000

Computed properties:
formation enthalpy at 0 K: 0.0251 eV per atom
space group: P-1 (2)

Record 7
Material: Ac7LaSm3
Method: DFT, PBE-GGA
State: optimized geometry

a b c (Å): 6.921 8.338 8.338
angles (deg): 83.84 84.58 84.58
Sites, in units of the cell vectors:
Ac: 0.259 0.417 0.072
Ac: 0.741 0.928 0.583
Ac: 0.772 0.233 0.233
Ac: 0.741 0.583 0.928
Ac: 0.228 0.767 0.767
Ac: 0.259 0.072 0.417
Ac: 0.000 0.500 0.500
Sm: 0.000 0.164 0.836
Sm: 0.500 0.000 0.000
Sm: 0.000 0.836 0.164
La: 0.500 0.500 0.500

Computed properties:
formation enthalpy at 0 K: 0.2443 eV per atom
space group: C2/m (12)

Record 8
Material: Ac5LaSm6
Method: DFT, PBE-GGA
State: optimized geometry

a b c (Å): 5.435 10.053 10.053
angles (deg): 108.56 105.68 105.68
Sites, in units of the cell vectors:
Ac: 0.500 0.500 0.500
Ac: 0.500 0.835 0.165
Ac: 0.000 0.667 0.333
Ac: 0.000 0.333 0.667
Ac: 0.500 0.165 0.835
La: 0.000 0.000 0.000
Sm: 0.751 0.586 0.917
Sm: 0.249 0.083 0.414
Sm: 0.253 0.752 0.752
Sm: 0.249 0.414 0.083
Sm: 0.751 0.917 0.586
Sm: 0.747 0.248 0.248

Computed properties:
formation enthalpy at 0 K: 0.0347 eV per atom
space group: Immm (71)